Computed, not measured: a geometry-optimized V6O7F5 structure at the PBE+U level of DFT.

Values from the calculation:
Space-group type: P1
Offset from the most stable computed form: 0.042 eV per formula unit
Size of the total moment: 11.00 μB/cell

Cell lengths 4.6664, 5.6361, 7.7840 Å; angles 87.08, 89.11, 89.27 degrees
With the nearest neighbours (Å) after each atom.
Atoms (fractional coordinates):
V  0.0000  0.0000  0.0000  3 O 1.92-2.07, 3 F 2.06-2.12
V  0.0013  0.3300  0.6698  3 O 1.89-2.06, 3 F 2.05-2.08
V  0.4458  0.5199  0.0108  4 O 1.96-2.07, 2 F 2.14
V  0.4762  0.8418  0.6632  3 F 1.98-2.10, 3 O 1.99-2.00
V  0.4871  0.1915  0.3545  4 O 1.92-2.11, 2 F 2.09-2.12
V  0.9414  0.6579  0.3242  4 O 1.88-1.91
O  0.1667  0.3031  0.9061  3 V 1.99-2.01
O  0.2601  0.4834  0.2477  3 V 1.88-2.09
O  0.2858  0.8063  0.8931  3 V 1.92-1.99
O  0.2867  0.1378  0.5702  3 V 1.89-1.99
O  0.6926  0.8720  0.4402  3 V 1.91-2.11
O  0.7779  0.7117  0.1052  3 V 1.89-2.07
O  0.7828  0.3843  0.4432  3 V 1.91-2.06
F  0.1772  0.6401  0.5689  3 V 1.98-2.21
F  0.1856  0.9747  0.2381  3 V 2.06-2.20
F  0.6695  0.2089  0.1076  3 V 2.09-2.14
F  0.6759  0.5334  0.7711  3 V 2.06-2.14
F  0.7810  0.0355  0.7702  3 V 2.02-2.08